Entry 1:
MgSb | PBE | optimized geometry

abc: 3.331 3.331 10.783
angles: 90.00 90.00 120.00
Fractional positions:
Mg (0.000, 0.000, 0.008)
Mg (0.667, 0.333, 0.242)
Sb (0.000, 0.000, 0.464)
Sb (0.667, 0.333, 0.786)

Values from the calculation:
As for the mass density: 4.68 g/cm³. As for the spin magnetization: 0.00 μB per formula unit. The calculation puts the density of states at the Fermi level at 1.5 states/eV per cell. The calculation puts the uncorrected formation energy at 0.019 eV per atom. The value obtained for the total energy is -2.8397 eV/atom.

Entry 2:
MgSb2 | PBE | optimized geometry

abc: 7.086 7.086 7.086
angles: 90.00 90.00 90.00
Fractional positions:
Sb (0.615, 0.615, 0.385)
Sb (0.385, 0.385, 0.615)
Sb (0.115, 0.885, 0.615)
Sb (0.885, 0.115, 0.385)
Sb (0.385, 0.115, 0.115)
Sb (0.615, 0.885, 0.885)
Sb (0.885, 0.385, 0.885)
Sb (0.115, 0.615, 0.115)
Mg (0.000, 0.000, 0.000)
Mg (0.500, 0.500, 0.000)
Mg (0.500, 0.000, 0.500)
Mg (0.000, 0.500, 0.500)

Values from the calculation:
As for the mass density: 5.00 g/cm³. As for the spin magnetization: 0.00 μB per formula unit. The calculation puts the density of states at the Fermi level at 11.1 states/eV per cell. The calculation puts the uncorrected formation energy at 0.078 eV per atom. The value obtained for the total energy is -3.2017 eV/atom.

Entry 3:
MgSb3 | PBE | optimized geometry

abc: 3.840 5.281 5.156
angles: 90.00 90.00 90.00
Fractional positions:
Mg (0.000, 0.000, 0.951)
Sb (0.500, 0.000, 0.459)
Sb (0.500, 0.500, 0.888)
Sb (0.000, 0.500, 0.369)

Values from the calculation:
As for the mass density: 6.19 g/cm³. As for the spin magnetization: 0.00 μB per formula unit. The calculation puts the density of states at the Fermi level at 1.8 states/eV per cell. Its energy above the most stable polymorph in this dataset is 12.9 kJ/mol of atoms. The calculation puts the uncorrected formation energy at 0.059 eV per atom. The value obtained for the total energy is -3.4311 eV/atom.

Entry 4:
Mg3Sb2 | PBE | optimized geometry

abc: 4.603 4.603 7.275
angles: 90.00 90.00 120.01
Fractional positions:
Mg (0.000, 0.000, 0.000)
Mg (0.667, 0.333, 0.632)
Mg (0.333, 0.667, 0.368)
Sb (0.667, 0.333, 0.225)
Sb (0.333, 0.667, 0.775)

Values from the calculation:
As for the mass density: 3.94 g/cm³. As for the spin magnetization: 0.00 μB per formula unit. The calculation puts the density of states at the Fermi level at 0.1 states/eV per cell. Its energy above the most stable polymorph in this dataset is 0.6 kJ/mol of atoms. The calculation puts the uncorrected formation energy at -0.370 eV per atom. The value obtained for the total energy is -2.9761 eV/atom.

Entry 5:
MgSb3 | PBE | optimized geometry

abc: 6.137 6.137 6.137
angles: 116.84 116.84 116.84
Fractional positions:
Mg (0.000, 0.000, 0.000)
Sb (0.500, 0.000, 0.500)
Sb (0.500, 0.500, 0.000)
Sb (0.000, 0.500, 0.500)

Values from the calculation:
As for the mass density: 6.19 g/cm³. As for the spin magnetization: 0.00 μB per formula unit. The calculation puts the density of states at the Fermi level at 1.9 states/eV per cell. Its energy above the most stable polymorph in this dataset is 15.7 kJ/mol of atoms. The calculation puts the uncorrected formation energy at 0.089 eV per atom. The value obtained for the total energy is -3.4016 eV/atom.

Entry 6:
MgSb2 | PBE | optimized geometry

abc: 5.874 5.874 5.874
angles: 105.78 105.78 117.13
Fractional positions:
Mg (0.750, 0.750, 0.000)
Mg (0.250, 0.250, 0.000)
Sb (0.144, 0.356, 0.500)
Sb (0.856, 0.644, 0.500)
Sb (0.644, 0.144, 0.788)
Sb (0.356, 0.856, 0.212)

Values from the calculation:
As for the mass density: 5.78 g/cm³. As for the spin magnetization: 0.00 μB per formula unit. The calculation puts the density of states at the Fermi level at 3.0 states/eV per cell. The calculation puts the uncorrected formation energy at -0.023 eV per atom. The value obtained for the total energy is -3.3029 eV/atom.

Entry 7:
MgSb | PBE | optimized geometry

abc: 7.848 7.848 4.394
angles: 90.00 90.00 145.79
Fractional positions:
Mg (0.305, 0.695, 0.000)
Mg (0.123, 0.877, 0.500)
Mg (0.809, 0.191, 0.500)
Sb (0.971, 0.029, 0.000)
Sb (0.680, 0.320, 0.000)
Sb (0.446, 0.554, 0.500)

Values from the calculation:
As for the mass density: 4.78 g/cm³. As for the spin magnetization: 0.00 μB per formula unit. The calculation puts the density of states at the Fermi level at 1.5 states/eV per cell. The calculation puts the uncorrected formation energy at -0.158 eV per atom. The value obtained for the total energy is -3.0162 eV/atom.

Entry 8:
Mg5Sb3 | PBE | optimized geometry

abc: 7.621 8.605 8.051
angles: 78.69 61.75 65.52
Fractional positions:
Mg (0.168, 0.877, 0.705)
Mg (0.018, 0.277, 0.853)
Mg (0.199, 0.540, 0.500)
Mg (0.372, 0.877, 0.295)
Mg (0.754, 0.708, 0.888)
Mg (0.371, 0.277, 0.147)
Mg (0.657, 0.119, 0.732)
Mg (0.632, 0.563, 0.500)
Mg (0.142, 0.708, 0.112)
Mg (0.888, 0.119, 0.268)
Sb (0.613, 0.464, 0.174)
Sb (0.749, 0.973, 0.058)
Sb (0.016, 0.265, 0.500)
Sb (0.819, 0.803, 0.500)
Sb (0.307, 0.973, 0.942)
Sb (0.287, 0.464, 0.826)

Values from the calculation:
As for the mass density: 3.82 g/cm³. As for the spin magnetization: 0.00 μB per formula unit. The calculation puts the density of states at the Fermi level at 0.4 states/eV per cell. Its energy above the most stable polymorph in this dataset is 0.0 kJ/mol of atoms. The calculation puts the uncorrected formation energy at -0.267 eV per atom. The value obtained for the total energy is -2.8091 eV/atom.

Entry 9:
MgSb | PBE | optimized geometry

abc: 4.209 4.209 4.209
angles: 60.00 60.00 60.00
Fractional positions:
Sb (0.500, 0.500, 0.500)
Mg (0.000, 0.000, 0.000)

Values from the calculation:
As for the mass density: 4.60 g/cm³. As for the spin magnetization: 0.00 μB per formula unit. The calculation puts the density of states at the Fermi level at 1.3 states/eV per cell. The calculation puts the uncorrected formation energy at -0.137 eV per atom. The value obtained for the total energy is -2.9954 eV/atom.

Entry 10:
MgSb | PBE | optimized geometry

abc: 4.656 13.987 5.653
angles: 90.00 90.00 90.00
Fractional positions:
Mg (0.500, 0.827, 0.848)
Mg (0.500, 0.173, 0.848)
Mg (0.500, 0.327, 0.348)
Mg (0.500, 0.673, 0.348)
Mg (0.000, 0.000, 0.343)
Mg (0.000, 0.500, 0.843)
Sb (0.000, 0.296, 0.673)
Sb (0.000, 0.704, 0.673)
Sb (0.000, 0.796, 0.173)
Sb (0.000, 0.204, 0.173)
Sb (0.500, 0.000, 0.616)
Sb (0.500, 0.500, 0.116)

Values from the calculation:
As for the mass density: 3.95 g/cm³. As for the spin magnetization: 0.00 μB per formula unit. The calculation puts the density of states at the Fermi level at 6.0 states/eV per cell. The calculation puts the uncorrected formation energy at -0.151 eV per atom. The value obtained for the total energy is -3.0090 eV/atom.

Entry 11:
MgSc2Sb2 | PBE | optimized geometry

abc: 7.816 7.816 3.892
angles: 90.00 90.00 90.00
Fractional positions:
Sc (0.149, 0.649, 0.500)
Sc (0.649, 0.851, 0.500)
Sc (0.851, 0.351, 0.500)
Sc (0.351, 0.149, 0.500)
Sb (0.347, 0.847, 0.000)
Sb (0.847, 0.653, 0.000)
Sb (0.653, 0.153, 0.000)
Sb (0.153, 0.347, 0.000)
Mg (0.000, 0.000, 0.000)
Mg (0.500, 0.500, 0.000)

Values from the calculation:
As for the mass density: 5.00 g/cm³. As for the spin magnetization: 0.00 μB per formula unit. The calculation puts the density of states at the Fermi level at 2.1 states/eV per cell. Its energy above the most stable polymorph in this dataset is 0.0 kJ/mol of atoms. The calculation puts the uncorrected formation energy at -0.679 eV per atom. The value obtained for the total energy is -5.1797 eV/atom.

Entry 12:
MgSc2Sb2 | PBE | optimized geometry

abc: 7.978 7.978 3.819
angles: 90.00 90.00 90.00
Fractional positions:
Sc (0.360, 0.860, 0.000)
Sc (0.860, 0.640, 0.000)
Sc (0.640, 0.140, 0.000)
Sc (0.140, 0.360, 0.000)
Sb (0.163, 0.663, 0.500)
Sb (0.663, 0.837, 0.500)
Sb (0.837, 0.337, 0.500)
Sb (0.337, 0.163, 0.500)
Mg (0.000, 0.000, 0.000)
Mg (0.500, 0.500, 0.000)

Values from the calculation:
As for the mass density: 4.89 g/cm³. As for the spin magnetization: 0.00 μB per formula unit. The calculation puts the density of states at the Fermi level at 2.8 states/eV per cell. Its energy above the most stable polymorph in this dataset is 13.0 kJ/mol of atoms. The calculation puts the uncorrected formation energy at -0.544 eV per atom. The value obtained for the total energy is -5.0449 eV/atom.

Entry 13:
MgSc2Sb | PBE | optimized geometry

abc: 8.436 8.436 8.436
angles: 26.60 26.60 26.60
Fractional positions:
Mg (0.250, 0.250, 0.250)
Sb (0.750, 0.750, 0.750)
Sc (0.011, 0.011, 0.011)
Sc (0.489, 0.489, 0.489)

Values from the calculation:
As for the mass density: 3.69 g/cm³. As for the spin magnetization: 0.00 μB per formula unit. The calculation puts the density of states at the Fermi level at 3.0 states/eV per cell. Its energy above the most stable polymorph in this dataset is 19.9 kJ/mol of atoms. The calculation puts the uncorrected formation energy at -0.267 eV per atom. The value obtained for the total energy is -4.8625 eV/atom.